# 1
VASP calculation (PBE-GGA) on crystalline TaSeSN2 at its relaxed geometry.

Values from the calculation:
- Relative energy among the computed polymorphs: 0.0 meV/atom
- Density of states at the Fermi level: 3.01 states/eV/f.u.
- Raw total energy: -6.78 eV/atom

Unit cell a=3.9736 b=3.9736 c=5.2789 alpha=90.00 beta=90.00 gamma=90.00
With the nearest neighbours (Å) after each atom.
Fractional coordinates of all 5 atoms:
1 S 0.0000 0.0000 0.5000  2 Ta 2.64, 4 Se 2.81
2 N 0.0000 0.5000 0.0000  2 Ta 1.99
3 N 0.5000 0.0000 0.0000  2 Ta 1.99
4 Se 0.5000 0.5000 0.5000  4 S 2.81
5 Ta 0.0000 0.0000 0.0000  4 N 1.99

=====

# 2
VASP calculation (PBE-GGA) on crystalline TaSeSN2 at its relaxed geometry.

Values from the calculation:
- Relative energy among the computed polymorphs: 1079.4 meV/atom
- Density of states at the Fermi level: 4.42 states/eV/f.u.
- Raw total energy: -5.70 eV/atom

Unit cell a=3.7411 b=3.7411 c=4.5928 alpha=90.00 beta=90.00 gamma=90.00
With the nearest neighbours (Å) after each atom.
Fractional coordinates of all 5 atoms:
1 S 0.0000 0.0000 0.0000  4 N 1.87
2 N 0.0000 0.5000 0.0000  2 S 1.87
3 N 0.5000 0.0000 0.0000  2 S 1.87
4 Se 0.0000 0.0000 0.5000  2 S 2.30
5 Ta 0.5000 0.5000 0.5000  4 Se 2.65, 8 N 2.96

=====

# 3
VASP calculation (PBE-GGA) on crystalline Tb6SeS2N3 at its relaxed geometry.

Values from the calculation:
- Density of states at the Fermi level: 3.40 states/eV/f.u.
- Raw total energy: -7.17 eV/atom

Unit cell a=3.6653 b=7.6446 c=8.4911 alpha=106.44 beta=102.46 gamma=90.00
With the nearest neighbours (Å) after each atom.
Fractional coordinates of all 12 atoms:
1 Tb 0.3218 0.9383 0.6436  3 N 2.46-2.51
2 Tb 0.6585 0.6045 0.3171  3 N 2.50-2.52
3 Tb 0.6782 0.0617 0.3564  3 N 2.46-2.51
4 Tb 0.9897 0.2788 0.9794  3 N 2.47-2.49
5 Tb 0.0103 0.7212 0.0206  3 N 2.47-2.49
6 Tb 0.3415 0.3955 0.6829  3 N 2.50-2.52
7 Se 0.5000 0.0000 0.0000  6 Tb 2.85
8 S 0.8336 0.6678 0.6672  6 Tb 2.80-2.84
9 S 0.1664 0.3322 0.3328  6 Tb 2.80-2.84
10 N 0.5000 0.5000 0.0000  6 Tb 2.47-2.52
11 N 0.8330 0.1688 0.6659  6 Tb 2.46-2.51
12 N 0.1670 0.8312 0.3341  6 Tb 2.46-2.51

=====

# 4
VASP calculation (PBE-GGA) on crystalline Tb4SeS2N at its relaxed geometry.

Values from the calculation:
- Density of states at the Fermi level: 2.44 states/eV/f.u.
- Raw total energy: -6.63 eV/atom

Unit cell a=3.8171 b=6.8700 c=6.6656 alpha=108.82 beta=90.00 gamma=90.00
With the nearest neighbours (Å) after each atom.
Fractional coordinates of all 8 atoms:
1 Tb 0.5000 0.2118 0.2214  2 N 2.56, 1 S 2.70, 1 Se 2.83
2 Tb 0.5000 0.7882 0.7786  2 N 2.56, 1 S 2.70, 1 Se 2.83
3 Tb 0.0000 0.2138 0.7614  1 N 2.49, 2 S 2.68
4 Tb 0.0000 0.7862 0.2386  1 N 2.49, 2 S 2.68
5 Se 0.5000 0.5000 0.0000  6 Tb 2.83
6 S 0.5000 0.0000 0.5000  6 Tb 2.68-2.70
7 S 0.0000 0.5000 0.5000  6 Tb 2.94-3.02
8 N 0.0000 0.0000 0.0000  6 Tb 2.49-2.56

=====

# 5
VASP calculation (PBE-GGA) on crystalline Tb6Se3SN2 at its relaxed geometry.

Values from the calculation:
- Density of states at the Fermi level: 4.33 states/eV/f.u.
- Raw total energy: -6.67 eV/atom

Unit cell a=6.5793 b=6.5793 c=6.9306 alpha=99.11 beta=99.11 gamma=119.95
With the nearest neighbours (Å) after each atom.
Fractional coordinates of all 12 atoms:
1 Tb 0.9313 0.5754 0.7937  2 N 2.51-2.52, 1 S 2.71
2 Tb 0.7118 0.7118 0.2028  2 N 2.51, 1 S 2.69
3 Tb 0.0687 0.4246 0.2063  2 N 2.51-2.52, 1 S 2.71
4 Tb 0.5754 0.9313 0.7937  2 N 2.51-2.52, 1 S 2.71
5 Tb 0.2882 0.2882 0.7972  2 N 2.51, 1 S 2.69
6 Tb 0.4246 0.0687 0.2063  2 N 2.51-2.52, 1 S 2.71
7 Se 0.1605 0.8395 0.5000  6 Tb 2.86-2.99
8 Se 0.8395 0.1605 0.5000  6 Tb 2.86-2.99
9 Se 0.5000 0.5000 0.5000  6 Tb 2.83-2.98
10 S 0.0000 0.0000 0.0000  6 Tb 2.69-2.71
11 N 0.3328 0.6672 0.0000  6 Tb 2.51-2.52
12 N 0.6672 0.3328 0.0000  6 Tb 2.51-2.52

=====

# 6
VASP calculation (PBE-GGA) on crystalline Tb6Se3S2N at its relaxed geometry.

Values from the calculation:
- Density of states at the Fermi level: 4.15 states/eV/f.u.
- Raw total energy: -6.40 eV/atom

Unit cell a=6.7728 b=6.7728 c=6.9598 alpha=99.35 beta=99.35 gamma=119.93
With the nearest neighbours (Å) after each atom.
Fractional coordinates of all 12 atoms:
1 Tb 0.9295 0.6218 0.7889  1 N 2.51, 2 S 2.73
2 Tb 0.7639 0.7639 0.2152  1 N 2.52, 2 S 2.74
3 Tb 0.0705 0.3782 0.2111  1 N 2.51, 2 S 2.73
4 Tb 0.6218 0.9295 0.7889  1 N 2.51, 2 S 2.73
5 Tb 0.2361 0.2361 0.7848  1 N 2.52, 2 S 2.74
6 Tb 0.3782 0.0705 0.2111  1 N 2.51, 2 S 2.73
7 Se 0.1721 0.8279 0.5000  6 Tb 2.90-3.04
8 Se 0.8279 0.1721 0.5000  6 Tb 2.90-3.04
9 Se 0.5000 0.5000 0.5000  6 Tb 2.89-3.07
10 S 0.3338 0.6662 0.0000  6 Tb 2.73-2.74
11 S 0.6662 0.3338 0.0000  6 Tb 2.73-2.74
12 N 0.0000 0.0000 0.0000  6 Tb 2.51-2.52

=====

# 7
VASP calculation (PBE-GGA) on crystalline Tb6SeS3N2 at its relaxed geometry.

Values from the calculation:
- Density of states at the Fermi level: 2.08 states/eV/f.u.
- Raw total energy: -6.85 eV/atom

Unit cell a=3.7673 b=7.7856 c=8.5651 alpha=103.25 beta=102.70 gamma=90.00
With the nearest neighbours (Å) after each atom.
Fractional coordinates of all 12 atoms:
1 Tb 0.3247 0.8711 0.6493  2 N 2.49, 1 S 2.69
2 Tb 0.6782 0.5648 0.3564  3 N 2.46-2.58
3 Tb 0.6753 0.1289 0.3507  2 N 2.49, 1 S 2.69
4 Tb 0.0220 0.2751 0.0441  1 N 2.42, 2 S 2.66
5 Tb 0.9780 0.7249 0.9559  1 N 2.42, 2 S 2.66
6 Tb 0.3218 0.4352 0.6436  3 N 2.46-2.58
7 Se 0.5000 0.0000 0.0000  6 Tb 2.81-2.87
8 S 0.5000 0.5000 0.0000  6 Tb 2.66-2.90
9 S 0.8397 0.1659 0.6794  6 Tb 2.69-2.96
10 S 0.1603 0.8341 0.3206  6 Tb 2.69-2.96
11 N 0.8293 0.6644 0.6585  6 Tb 2.42-2.58
12 N 0.1707 0.3356 0.3415  6 Tb 2.42-2.58

=====

# 8
VASP calculation (PBE-GGA) on crystalline TcSe2SN at its relaxed geometry.

Values from the calculation:
- Relative energy among the computed polymorphs: 614.2 meV/atom
- Density of states at the Fermi level: 4.71 states/eV/f.u.
- Raw total energy: -4.79 eV/atom

Unit cell a=4.9442 b=4.9442 c=3.2278 alpha=90.00 beta=90.00 gamma=90.00
With the nearest neighbours (Å) after each atom.
Fractional coordinates of all 5 atoms:
1 S 0.0000 0.0000 0.0000  2 N 1.61
2 Tc 0.5000 0.5000 0.5000  8 Se 2.95, 2 Tc 3.23
3 Se 0.0000 0.5000 0.0000  2 S 2.47
4 Se 0.5000 0.0000 0.0000  2 S 2.47
5 N 0.0000 0.0000 0.5000  2 S 1.61

=====

# 9
VASP calculation (PBE-GGA) on crystalline TcSe2SN at its relaxed geometry.

Values from the calculation:
- Relative energy among the computed polymorphs: 0.0 meV/atom
- Density of states at the Fermi level: 3.82 states/eV/f.u.
- Raw total energy: -5.40 eV/atom

Unit cell a=4.9799 b=4.9799 c=3.7102 alpha=90.00 beta=90.00 gamma=90.00
With the nearest neighbours (Å) after each atom.
Fractional coordinates of all 5 atoms:
1 S 0.5000 0.5000 0.5000  8 Se 3.11
2 Tc 0.0000 0.0000 0.0000  2 N 1.86
3 Se 0.0000 0.5000 0.0000  2 Tc 2.49
4 Se 0.5000 0.0000 0.0000  2 Tc 2.49
5 N 0.0000 0.0000 0.5000  2 Tc 1.86

=====

# 10
VASP calculation (PBE-GGA) on crystalline Te2SeSN at its relaxed geometry.

Values from the calculation:
- Relative energy among the computed polymorphs: 282.4 meV/atom
- Density of states at the Fermi level: 5.60 states/eV/f.u.
- Raw total energy: -3.26 eV/atom

Unit cell a=5.6577 b=5.6577 c=3.6570 alpha=90.00 beta=90.00 gamma=90.00
With the nearest neighbours (Å) after each atom.
Fractional coordinates of all 5 atoms:
1 S 0.5000 0.5000 0.5000  8 Te 3.37, 2 S 3.66
2 Te 0.0000 0.5000 0.0000  2 Se 2.83
3 Te 0.5000 0.0000 0.0000  2 Se 2.83
4 Se 0.0000 0.0000 0.0000  2 N 1.83
5 N 0.0000 0.0000 0.5000  2 Se 1.83

=====

# 11
VASP calculation (PBE-GGA) on crystalline TeSeSN2 at its relaxed geometry.

Values from the calculation:
- Relative energy among the computed polymorphs: 83.3 meV/atom
- Density of states at the Fermi level: 1.54 states/eV/f.u.
- Raw total energy: -3.92 eV/atom

Unit cell a=3.9448 b=3.9448 c=4.8735 alpha=90.00 beta=90.00 gamma=90.00
With the nearest neighbours (Å) after each atom.
Fractional coordinates of all 5 atoms:
1 S 0.0000 0.0000 0.5000  2 Se 2.44
2 Te 0.5000 0.5000 0.5000  4 S 2.79
3 Se 0.0000 0.0000 0.0000  4 N 1.97
4 N 0.0000 0.5000 0.0000  2 Se 1.97
5 N 0.5000 0.0000 0.0000  2 Se 1.97

=====

# 12
VASP calculation (PBE-GGA) on crystalline TeSeS2N at its relaxed geometry.

Values from the calculation:
- Relative energy among the computed polymorphs: 0.0 meV/atom
- Density of states at the Fermi level: 3.57 states/eV/f.u.
- Raw total energy: -3.59 eV/atom

Unit cell a=5.0511 b=5.0511 c=3.6775 alpha=90.00 beta=90.00 gamma=90.00
With the nearest neighbours (Å) after each atom.
Fractional coordinates of all 5 atoms:
1 S 0.0000 0.5000 0.0000  2 Se 2.53
2 S 0.5000 0.0000 0.0000  2 Se 2.53
3 Te 0.5000 0.5000 0.5000  8 S 3.12
4 Se 0.0000 0.0000 0.0000  2 N 1.84
5 N 0.0000 0.0000 0.5000  2 Se 1.84

=====

# 13
VASP calculation (PBE-GGA) on crystalline TeSeSN2 at its relaxed geometry.

Values from the calculation:
- Relative energy among the computed polymorphs: 175.9 meV/atom
- Density of states at the Fermi level: 3.27 states/eV/f.u.
- Raw total energy: -3.83 eV/atom

Unit cell a=3.8897 b=3.8897 c=4.9026 alpha=90.00 beta=90.00 gamma=90.00
With the nearest neighbours (Å) after each atom.
Fractional coordinates of all 5 atoms:
1 S 0.0000 0.0000 0.0000  4 N 1.94
2 Te 0.5000 0.5000 0.5000  4 Se 2.75
3 Se 0.0000 0.0000 0.5000  2 S 2.45
4 N 0.0000 0.5000 0.0000  2 S 1.94
5 N 0.5000 0.0000 0.0000  2 S 1.94